A geometry-optimized AlCuPd3 structure, computed with PBE-GGA.

* ΔE to the lowest computed polymorph: 0.0 meV per atom
* formation energy from the elements: -557 meV per atom
* space-group type: P2_1/m

a b c (Å): 4.1479 4.1475 8.5691
angles (deg): 90.00 104.08 90.00
Positions (direct):
Pd  0.9540  0.3443  0.1891
Pd  0.5724  0.3444  0.4265
Pd  0.2628  0.8444  0.8071
Pd  0.4532  0.8444  0.1881
Pd  0.7630  0.3443  0.8074
Pd  0.0718  0.8445  0.4254
Cu  0.1648  0.3446  0.6119
Cu  0.8605  0.8443  0.0028
Al  0.6634  0.8444  0.6086
Al  0.3624  0.3444  0.0058

A geometry-optimized AlCu2Pd6 structure, computed with PBE-GGA.

* ΔE to the lowest computed polymorph: 270.2 meV per atom
* formation energy from the elements: -88 meV per atom
* space-group type: Immm

a b c (Å): 4.1241 5.8369 7.1166
angles (deg): 114.21 106.82 90.00
Positions (direct):
Al  0.0000  0.0000  0.0000
Cu  0.3338  0.3338  0.6676
Cu  0.6662  0.6662  0.3324
Pd  0.1649  0.9171  0.3300
Pd  0.5000  0.2454  0.0000
Pd  0.8351  0.0829  0.6700
Pd  0.1649  0.4129  0.3300
Pd  0.8351  0.5871  0.6700
Pd  0.5000  0.7546  0.0000

A geometry-optimized AlCu5Pd6 structure, computed with PBE-GGA.

* formation energy from the elements: -328 meV per atom
* space-group type: Cmmm

a b c (Å): 7.4175 4.2657 6.7445
angles (deg): 71.56 79.51 54.85
Positions (direct):
Pd  0.2486  0.9153  0.6717
Pd  0.7514  0.0847  0.3283
Pd  0.7514  0.4130  0.6717
Pd  0.7557  0.7442  0.0000
Pd  0.2443  0.2558  0.0000
Pd  0.2486  0.5870  0.3283
Cu  0.5000  0.1669  0.6661
Cu  0.0000  0.6703  0.6594
Cu  0.5000  0.5000  0.0000
Cu  0.5000  0.8331  0.3339
Cu  0.0000  0.3297  0.3406
Al  0.0000  0.0000  0.0000

A geometry-optimized Al3CuPd4 structure, computed with PBE-GGA.

* formation energy from the elements: -734 meV per atom
* space-group type: P4/mmm

a b c (Å): 3.1177 3.1177 11.8037
angles (deg): 90.00 90.00 90.00
Positions (direct):
Cu  0.5000  0.5000  0.0000
Pd  0.0000  0.0000  0.8731
Pd  0.0000  0.0000  0.3747
Pd  0.0000  0.0000  0.6253
Pd  0.0000  0.0000  0.1269
Al  0.5000  0.5000  0.7572
Al  0.5000  0.5000  0.2428
Al  0.5000  0.5000  0.5000

A geometry-optimized Al2Cu4Pd structure, computed with PBE-GGA.

* formation energy from the elements: -322 meV per atom
* space-group type: C2/m

a b c (Å): 3.3833 2.8300 10.5794
angles (deg): 113.22 99.20 90.00
Positions (direct):
Cu  0.7160  0.1465  0.4320
Cu  0.8518  0.5577  0.7035
Cu  0.2840  0.8535  0.5680
Cu  0.1482  0.4423  0.2965
Al  0.4210  0.2648  0.8420
Al  0.5790  0.7352  0.1580
Pd  0.0000  0.0000  0.0000

A geometry-optimized Al2Cu2Pd3 structure, computed with PBE-GGA.

* formation energy from the elements: -487 meV per atom
* space-group type: P-1

a b c (Å): 3.8967 4.7277 7.2596
angles (deg): 111.07 105.27 114.30
Positions (direct):
Cu  0.7023  0.8299  0.5698
Cu  0.2977  0.1701  0.4302
Pd  0.0000  0.0000  0.0000
Pd  0.5395  0.2514  0.8264
Pd  0.4605  0.7486  0.1736
Al  0.1498  0.5606  0.7364
Al  0.8502  0.4394  0.2636

A geometry-optimized Al3Cu2Pd structure, computed with PBE-GGA.

* formation energy from the elements: -419 meV per atom
* space-group type: P4/mmm

a b c (Å): 3.0868 3.0868 8.6858
angles (deg): 90.00 90.00 90.00
Positions (direct):
Cu  0.5000  0.5000  0.8410
Cu  0.5000  0.5000  0.1590
Pd  0.5000  0.5000  0.5000
Al  0.0000  0.0000  0.0000
Al  0.0000  0.0000  0.3267
Al  0.0000  0.0000  0.6733

A geometry-optimized AlCu2Pd8 structure, computed with PBE-GGA.

* ΔE to the lowest computed polymorph: 0.0 meV per atom
* formation energy from the elements: -206 meV per atom
* space-group type: Immm

a b c (Å): 4.1315 7.0508 7.0117
angles (deg): 120.18 107.13 90.00
Positions (direct):
Pd  0.1400  0.1400  0.2800
Pd  0.6558  0.4369  0.3116
Pd  0.8600  0.8600  0.7200
Pd  0.3442  0.1253  0.6884
Pd  0.0000  0.6880  0.0000
Pd  0.6558  0.8747  0.3116
Pd  0.3442  0.5631  0.6884
Pd  0.0000  0.3120  0.0000
Cu  0.7998  0.2998  0.5996
Cu  0.2002  0.7002  0.4004
Al  0.5000  0.0000  0.0000

A geometry-optimized Al4CuPd7 structure, computed with PBE-GGA.

* formation energy from the elements: -501 meV per atom
* space-group type: C2/m

a b c (Å): 4.5555 7.5614 6.3232
angles (deg): 79.84 68.89 72.47
Positions (direct):
Pd  0.0770  0.6689  0.1770
Pd  0.5000  0.0000  0.0000
Pd  0.7870  0.8682  0.5577
Pd  0.3535  0.5753  0.7178
Pd  0.9230  0.3311  0.8230
Pd  0.2130  0.1318  0.4423
Pd  0.6465  0.4247  0.2822
Al  0.4241  0.7869  0.3648
Al  0.7121  0.6619  0.9139
Al  0.2879  0.3381  0.0861
Al  0.5759  0.2131  0.6352
Cu  0.0000  0.0000  0.0000

A geometry-optimized AlCu6Pd12 structure, computed with PBE-GGA.

* ΔE to the lowest computed polymorph: 0.0 meV per atom
* formation energy from the elements: -194 meV per atom
* space-group type: R-3

a b c (Å): 6.7096 7.2079 7.2079
angles (deg): 69.17 71.92 108.08
Positions (direct):
Al  0.0000  0.0000  0.0000
Pd  0.1621  0.0529  0.5767
Pd  0.5261  0.8444  0.2671
Pd  0.2068  0.7329  0.1115
Pd  0.7388  0.5767  0.3704
Pd  0.8908  0.6296  0.9471
Pd  0.8379  0.9471  0.4233
Pd  0.4739  0.1556  0.7329
Pd  0.3184  0.1115  0.1556
Pd  0.7932  0.2671  0.8885
Pd  0.6816  0.8885  0.8444
Pd  0.1092  0.3704  0.0529
Pd  0.2612  0.4233  0.6296
Cu  0.3665  0.7882  0.6843
Cu  0.6335  0.2118  0.3157
Cu  0.4217  0.4725  0.2118
Cu  0.0508  0.6843  0.5275
Cu  0.9492  0.3157  0.4725
Cu  0.5783  0.5275  0.7882

A geometry-optimized AlCu2Pd structure, computed with PBE-GGA.

* formation energy from the elements: -391 meV per atom
* space-group type: P2_1/m

a b c (Å): 3.9174 5.2902 5.1897
angles (deg): 91.44 90.00 90.00
Positions (direct):
Al  0.7500  0.6467  0.8367
Al  0.2500  0.3533  0.1633
Cu  0.7500  0.1126  0.3923
Cu  0.2500  0.8757  0.1005
Cu  0.2500  0.8874  0.6077
Cu  0.7500  0.1243  0.8995
Pd  0.2500  0.3855  0.6697
Pd  0.7500  0.6145  0.3303

A geometry-optimized AlCu2Pd structure, computed with PBE-GGA.

* formation energy from the elements: -270 meV per atom
* space-group type: P4/mmm

a b c (Å): 3.1655 3.1655 5.3982
angles (deg): 90.00 90.00 90.00
Positions (direct):
Cu  0.0000  0.0000  0.7602
Cu  0.0000  0.0000  0.2398
Pd  0.5000  0.5000  0.5000
Al  0.5000  0.5000  0.0000

A geometry-optimized AlCu2Pd2 structure, computed with PBE-GGA.

* ΔE to the lowest computed polymorph: 90.6 meV per atom
* formation energy from the elements: -225 meV per atom
* space-group type: P4/mbm

a b c (Å): 6.3577 6.3577 3.7571
angles (deg): 90.00 90.00 90.00
Positions (direct):
Pd  0.1481  0.3519  0.0000
Pd  0.6481  0.1481  0.0000
Pd  0.3519  0.8519  0.0000
Pd  0.8519  0.6481  0.0000
Cu  0.1515  0.6515  0.5000
Cu  0.3485  0.1515  0.5000
Cu  0.6515  0.8485  0.5000
Cu  0.8485  0.3485  0.5000
Al  0.5000  0.5000  0.0000
Al  0.0000  0.0000  0.0000

A geometry-optimized AlCu3Pd6 structure, computed with PBE-GGA.

* ΔE to the lowest computed polymorph: 123.0 meV per atom
* formation energy from the elements: -190 meV per atom
* space-group type: Cmc2_1

a b c (Å): 4.1607 9.8219 9.8219
angles (deg): 131.95 90.00 90.00
Positions (direct):
Al  0.0977  0.2336  0.7664
Al  0.5977  0.7664  0.2336
Pd  0.0990  0.7302  0.6058
Pd  0.5978  0.3070  0.6930
Pd  0.0976  0.5871  0.9641
Pd  0.5990  0.2698  0.3942
Pd  0.0976  0.0359  0.4129
Pd  0.5976  0.9641  0.5871
Pd  0.5976  0.4129  0.0359
Pd  0.5990  0.6058  0.7302
Pd  0.0990  0.3942  0.2698
Pd  0.0991  0.1008  0.8992
Pd  0.0978  0.6930  0.3070
Pd  0.5991  0.8992  0.1008
Cu  0.5992  0.1955  0.0998
Cu  0.5989  0.5948  0.4052
Cu  0.0989  0.4052  0.5948
Cu  0.5992  0.9002  0.8045
Cu  0.0992  0.8045  0.9002
Cu  0.0992  0.0998  0.1955

A geometry-optimized AlCu2Pd2 structure, computed with PBE-GGA.

* ΔE to the lowest computed polymorph: 91.3 meV per atom
* formation energy from the elements: -225 meV per atom
* space-group type: P4/mbm

a b c (Å): 6.2518 6.2518 3.6771
angles (deg): 90.00 90.00 90.00
Positions (direct):
Cu  0.8679  0.6321  0.0000
Cu  0.6321  0.1321  0.0000
Cu  0.1321  0.3679  0.0000
Cu  0.3679  0.8679  0.0000
Al  0.5000  0.5000  0.0000
Al  0.0000  0.0000  0.0000
Pd  0.6694  0.8306  0.5000
Pd  0.1694  0.6694  0.5000
Pd  0.3306  0.1694  0.5000
Pd  0.8306  0.3306  0.5000

A geometry-optimized Al2CuPd6 structure, computed with PBE-GGA.

* ΔE to the lowest computed polymorph: 12.1 meV per atom
* formation energy from the elements: -585 meV per atom
* space-group type: P4_2/mnm

a b c (Å): 4.1248 7.9851 7.9850
angles (deg): 90.00 90.00 90.00
Positions (direct):
Pd  0.0000  0.0223  0.1759
Pd  0.0000  0.6759  0.5223
Pd  0.5000  0.5223  0.3241
Pd  0.5000  0.4777  0.6759
Pd  0.0000  0.6321  0.8679
Pd  0.0000  0.3679  0.1321
Pd  0.0000  0.3241  0.4777
Pd  0.5000  0.8679  0.3679
Pd  0.5000  0.8241  0.0223
Pd  0.5000  0.1321  0.6321
Pd  0.5000  0.1759  0.9777
Pd  0.0000  0.9777  0.8241
Al  0.5000  0.8053  0.6948
Al  0.0000  0.6947  0.1948
Al  0.5000  0.1947  0.3052
Al  0.0000  0.3053  0.8052
Cu  0.5000  0.5000  0.0000
Cu  0.0000  0.0000  0.5000

A geometry-optimized Al2CuPd4 structure, computed with PBE-GGA.

* ΔE to the lowest computed polymorph: 75.7 meV per atom
* formation energy from the elements: -486 meV per atom
* space-group type: P2_1/m

a b c (Å): 6.5286 5.3844 6.8160
angles (deg): 90.00 118.39 90.00
Positions (direct):
Pd  0.5623  0.0043  0.2380
Pd  0.1057  0.7500  0.9327
Pd  0.5623  0.4957  0.2380
Pd  0.8943  0.2500  0.0673
Pd  0.4377  0.5043  0.7620
Pd  0.0058  0.2500  0.5091
Pd  0.4377  0.9957  0.7620
Pd  0.9942  0.7500  0.4909
Al  0.3079  0.2500  0.3847
Al  0.7954  0.7500  0.0702
Al  0.2046  0.2500  0.9298
Al  0.6921  0.7500  0.6153
Cu  0.2784  0.7500  0.3489
Cu  0.7216  0.2500  0.6511

A geometry-optimized Al4CuPd2 structure, computed with PBE-GGA.

* formation energy from the elements: -582 meV per atom
* space-group type: P4/mmm

a b c (Å): 4.2317 4.2317 6.0488
angles (deg): 90.00 90.00 90.00
Positions (direct):
Cu  0.5000  0.5000  0.0000
Al  0.5000  0.0000  0.2605
Al  0.5000  0.0000  0.7395
Al  0.0000  0.5000  0.7395
Al  0.0000  0.5000  0.2605
Pd  0.0000  0.0000  0.0000
Pd  0.5000  0.5000  0.5000

A geometry-optimized Al6CuPd5 structure, computed with PBE-GGA.

* formation energy from the elements: -769 meV per atom
* space-group type: P2/m

a b c (Å): 4.3279 6.1293 6.8285
angles (deg): 90.00 107.62 90.00
Positions (direct):
Al  0.5000  0.2460  0.0000
Al  0.8344  0.7523  0.6691
Al  0.1656  0.2477  0.3309
Al  0.5000  0.7540  0.0000
Al  0.1656  0.7523  0.3309
Al  0.8344  0.2477  0.6691
Pd  0.0000  0.5000  0.0000
Pd  0.6670  0.0000  0.3326
Pd  0.3342  0.5000  0.6665
Pd  0.6658  0.5000  0.3335
Pd  0.3330  0.0000  0.6674
Cu  0.0000  0.0000  0.0000

A geometry-optimized AlCu2Pd structure, computed with PBE-GGA.

* formation energy from the elements: -64 meV per atom
* space-group type: I-42d

a b c (Å): 6.8319 6.8319 5.4405
angles (deg): 51.11 51.11 90.00
Positions (direct):
Al  0.2500  0.7500  0.5000
Al  0.5000  0.5000  0.0000
Cu  0.8750  0.8641  0.7500
Cu  0.1359  0.6250  0.2500
Cu  0.6141  0.1250  0.2500
Cu  0.3750  0.3859  0.7500
Pd  0.0000  0.0000  0.0000
Pd  0.7500  0.2500  0.5000

A geometry-optimized AlCuPd2 structure, computed with PBE-GGA.

* formation energy from the elements: -245 meV per atom
* space-group type: I-42d

a b c (Å): 6.7680 6.7680 5.5003
angles (deg): 52.03 52.03 90.00
Positions (direct):
Pd  0.6122  0.1250  0.2500
Pd  0.3750  0.3878  0.7500
Pd  0.8750  0.8622  0.7500
Pd  0.1378  0.6250  0.2500
Al  0.5000  0.5000  0.0000
Al  0.2500  0.7500  0.5000
Cu  0.0000  0.0000  0.0000
Cu  0.7500  0.2500  0.5000

A geometry-optimized Al8CuPd2 structure, computed with PBE-GGA.

* formation energy from the elements: -294 meV per atom
* space-group type: C2/m

a b c (Å): 4.4437 8.0833 6.9440
angles (deg): 128.66 113.42 82.34
Positions (direct):
Al  0.8655  0.8655  0.7309
Al  0.6435  0.4337  0.2973
Al  0.6539  0.8636  0.2973
Al  0.0193  0.6722  0.0000
Al  0.1345  0.1345  0.2691
Al  0.3565  0.5663  0.7027
Al  0.9807  0.3278  0.0000
Al  0.3461  0.1364  0.7027
Pd  0.7766  0.2766  0.5532
Pd  0.2234  0.7234  0.4468
Cu  0.5000  0.0000  0.0000

Number 1: total magnetic moment 0.0000 μB per atom. Number 2: total magnetic moment 0.0000 μB per atom. Number 3: total magnetic moment 0.0000 μB per atom. Number 4: total magnetic moment 0.0000 μB per atom. Number 5: total magnetic moment 0.0000 μB per atom. Number 6: total magnetic moment 0.0000 μB per atom. Number 7: total magnetic moment 0.0000 μB per atom. Number 8: total magnetic moment 0.0000 μB per atom. Number 9: total magnetic moment 0.0000 μB per atom. Number 10: total magnetic moment 0.0000 μB per atom. Number 11: total magnetic moment 0.0000 μB per atom. Number 12: total magnetic moment 0.0000 μB per atom. Number 13: total magnetic moment 0.0000 μB per atom. Number 14: total magnetic moment 0.0000 μB per atom. Number 15: total magnetic moment 0.0000 μB per atom. Number 16: total magnetic moment 0.0000 μB per atom. Number 17: total magnetic moment 0.0000 μB per atom. Number 18: total magnetic moment 0.0000 μB per atom. Number 19: total magnetic moment 0.0000 μB per atom. Number 20: total magnetic moment 0.0000 μB per atom. Number 21: total magnetic moment 0.0000 μB per atom. Number 22: total magnetic moment 0.0000 μB per atom.